ZrBiAs2Se (PBE-GGA, relaxed); V = 28.280 A^3/atom
1.0
5.272 0.000 0.000
0.000 5.272 0.000
0.000 0.000 5.087
As Se Bi Zr
2 1 1 1
direct
0.000 0.500 0.000
0.500 0.000 0.000
0.000 0.000 0.500
0.500 0.500 0.500
0.000 0.000 0.000


ZrBiAs2Se (PBE-GGA, relaxed); V = 29.749 A^3/atom
1.0
-1.313 -4.030 3.140
4.666 0.374 2.432
-2.108 3.428 3.518
As Se Bi Zr
2 1 1 1
direct
0.000 0.500 0.000
0.500 0.000 0.000
0.000 0.000 0.500
0.000 0.000 0.000
0.500 0.500 0.500


ZrBiAsSe2 (PBE-GGA, relaxed); V = 30.636 A^3/atom
1.0
5.363 0.000 0.000
0.000 5.363 0.000
0.000 0.000 5.326
As Se Bi Zr
1 2 1 1
direct
0.000 0.000 0.500
0.000 0.500 0.000
0.500 0.000 0.000
0.000 0.000 0.000
0.500 0.500 0.500


ZrBiAsSe2 (PBE-GGA, relaxed); V = 28.455 A^3/atom
1.0
-2.856 -0.470 4.251
-4.067 -1.282 -2.874
1.383 -5.186 0.356
As Se Bi Zr
1 2 1 1
direct
0.000 0.000 0.500
0.000 0.500 0.000
0.500 0.000 0.000
0.500 0.500 0.500
0.000 0.000 0.000


Calculated energy above the most stable polymorph in this dataset, 0 854 878 0 meV per atom (same order as the records).
Calculated ΔE_f (raw), 43 898 710 -167 meV per atom (same order as the records).
Calculated N(E_F), 3.761 3.218 4.899 4.640 states/eV per cell (same order as the records).